# 1
Ca3Pu3ScSe8 | PBE | relaxed

Values from the calculation:
The calculation puts the total magnetization at 17.01 μB/cell. The value obtained for the density of states at the Fermi level is 35.05 states/eV/f.u. Its energy relative to the elements, uncorrected is -25.871 eV per formula unit.

a = 8.360 Å, b = 8.360 Å, c = 8.360 Å
α = 59.43°, β = 59.43°, γ = 59.43°
Element x y z (fractional)
Ca  0.000  0.500  0.500
Ca  0.500  0.000  0.500
Ca  0.500  0.500  0.000
Pu  0.000  0.000  0.500
Pu  0.000  0.500  0.000
Pu  0.500  0.000  0.000
Sc  0.500  0.500  0.500
Se  0.250  0.250  0.250
Se  0.261  0.737  0.737
Se  0.263  0.263  0.739
Se  0.263  0.739  0.263
Se  0.737  0.261  0.737
Se  0.737  0.737  0.261
Se  0.739  0.263  0.263
Se  0.750  0.750  0.750

---

# 2
Ta2NiRhN | PBE | relaxed

Values from the calculation:
The calculation puts the total magnetization at 0.00 μB/cell. The value obtained for the density of states at the Fermi level is 2.59 states/eV/f.u. Its energy relative to the elements, uncorrected is -2.816 eV per formula unit.

a = 4.214 Å, b = 4.214 Å, c = 3.794 Å
α = 90.00°, β = 90.00°, γ = 90.00°
Element x y z (fractional)
Ta  0.000  0.500  0.000
Ta  0.500  0.000  0.000
Ni  0.000  0.000  0.500
Rh  0.500  0.500  0.500
N  0.000  0.000  0.000

---

# 3
LiPaSb2N | PBE | relaxed

Values from the calculation:
The calculation puts the total magnetization at 0.00 μB/cell. The value obtained for the density of states at the Fermi level is 1.89 states/eV/f.u. Its energy relative to the elements, uncorrected is -4.130 eV per formula unit.

a = 3.918 Å, b = 3.918 Å, c = 16.042 Å
α = 90.00°, β = 90.00°, γ = 90.00°
Element x y z (fractional)
Li  0.250  0.250  0.139
Li  0.750  0.750  0.861
Pa  0.250  0.250  0.573
Pa  0.750  0.750  0.427
Sb  0.250  0.250  0.309
Sb  0.250  0.250  0.961
Sb  0.750  0.750  0.039
Sb  0.750  0.750  0.691
N  0.250  0.750  0.500
N  0.750  0.250  0.500

---

# 4
KSr3Se | PBE | relaxed

Values from the calculation:
The calculation puts the total magnetization at 0.00 μB/cell. The value obtained for the density of states at the Fermi level is 5.60 states/eV/f.u. Its energy relative to the elements, uncorrected is 3.215 eV per formula unit. The offset from the most stable computed form comes out at 1.273 eV per atom.

a = 6.789 Å, b = 6.789 Å, c = 6.789 Å
α = 90.00°, β = 90.00°, γ = 90.00°
Element x y z (fractional)
K  0.000  0.000  0.000
Sr  0.000  0.000  0.500
Sr  0.000  0.500  0.000
Sr  0.500  0.000  0.000
Se  0.500  0.500  0.500

---

# 5
LiZn2Re | PBE | relaxed

Values from the calculation:
The calculation puts the total magnetization at 0.00 μB/cell. The value obtained for the density of states at the Fermi level is 2.15 states/eV/f.u. For the formation energy, the calculation gives 0.5 eV per formula unit. The offset from the most stable computed form comes out at 0.144 eV per atom.

a = 2.618 Å, b = 3.996 Å, c = 5.506 Å
α = 90.00°, β = 90.00°, γ = 90.00°
Element x y z (fractional)
Li  0.000  0.000  0.000
Zn  0.500  0.500  0.260
Zn  0.500  0.500  0.740
Re  0.000  0.000  0.500